Computed, not measured: a relaxed LiMn2CO crystal at the PBE+U level of DFT.

```
LiMn2CO
1.0
-1.1100 3.9684 0.4826
-2.3284 -0.3340 -2.6091
-2.9015 -1.1443 2.7359
C O Li Mn
1 1 1 2
Cartesian
-3.1700 1.2451 0.3047 C
0.0000 0.0000 0.0000 O
-1.1642 -0.1670 -1.3045 Li
-0.5550 1.9842 0.2413 Mn
-1.4508 -0.5721 1.3680 Mn
```

Output
**Total energy**: -6.18 eV/atom
**Theoretical density**: 4.0 g cm⁻³
**Crystal system**: tetragonal